Computed, not measured: a relaxed Pu2CoNi3 crystal at the PBE level of DFT.

Output
Energy of formation ... -1.4 eV per formula unit
Crystal system ... trigonal
Calculated density ... 13.33 g/cm³
Symmetry ... R-3m, No. 166

Cell: 5.0074 5.0074 5.0568 Å, 90.00 119.68 120.00°
Site moments in Bohr magnetons follow the coordinates.
Element x y z (fractional)
1 Pu 0.7487 0.3744 0.1231  5.12
2 Pu 0.2513 0.6256 0.8769  5.12
3 Co 0.0000 0.0000 0.0000  -1.00
4 Ni 0.5000 0.5000 0.5000  -0.15
5 Ni 0.0000 0.0000 0.5000  -0.15
6 Ni 0.5000 0.0000 0.5000  -0.15